This record from the Alexandria database describes a relaxed WS2F crystal. The functional is PBE with a Hubbard U.

Cell lengths 7.3079, 7.3079, 7.3079 Å; angles 28.03, 28.03, 28.03 degrees
Fractional positions:
1 S 0.9002 0.9002 0.9002
2 S 0.0998 0.0998 0.0998
3 W 0.5000 0.5000 0.5000
4 F 0.0000 0.0000 0.0000

Results
Total magnetization ... 1.473 μB per formula unit
Final energy ... -4.78 eV per atom
Distance to the lowest polymorph of the same formula ... 0 meV/atom
DOS(E_F) ... 0.25 states/eV/atom